Record 1
Below is a relaxed structure of Zr2Zn3Mo4N3, with properties calculated at the PBE level.

## Properties
- final energy (eV per atom) = -7.9140
- symmetry = No. 15

a b c (Å): 5.3951 5.3951 13.6042
angles (deg): 101.60 101.60 60.19
Closest atoms and distances in Å follow each position.
Element x y z (fractional)
Zr 0.0370 0.8680 0.6126  3 N 2.24-2.32
Zr 0.1320 0.9630 0.8874  3 N 2.24-2.32
Zr 0.8680 0.0370 0.1126  3 N 2.24-2.32
Zr 0.9630 0.1320 0.3874  3 N 2.24-2.32
Zn 0.0843 0.3962 0.7485  4 Zn 2.69-2.71, 4 Mo 2.75-2.80
Zn 0.3962 0.0843 0.2485  4 Zn 2.69-2.71, 4 Mo 2.75-2.80
Zn 0.4307 0.5693 0.2500  4 Zn 2.69-2.71, 4 Mo 2.74-2.79
Zn 0.5693 0.4307 0.7500  4 Zn 2.69-2.71, 4 Mo 2.74-2.79
Zn 0.6038 0.9157 0.7515  4 Zn 2.69-2.71, 4 Mo 2.75-2.80
Zn 0.9157 0.6038 0.2515  4 Zn 2.69-2.71, 4 Mo 2.75-2.80
Mo 0.1946 0.3695 0.0766  3 N 2.09-2.13
Mo 0.3179 0.4610 0.4234  3 N 2.08-2.13
Mo 0.3695 0.1946 0.5766  3 N 2.09-2.13
Mo 0.4610 0.3179 0.9234  3 N 2.08-2.13
Mo 0.5390 0.6821 0.0766  3 N 2.08-2.13
Mo 0.6305 0.8054 0.4234  3 N 2.09-2.13
Mo 0.6821 0.5390 0.5766  3 N 2.08-2.13
Mo 0.8054 0.6305 0.9234  3 N 2.09-2.13
N 0.0000 0.5000 0.5000  4 Mo 2.08-2.09, 2 Zr 2.32
N 0.1507 0.6994 0.0002  4 Mo 2.11-2.13, 2 Zr 2.24-2.25
N 0.3006 0.8493 0.4998  4 Mo 2.11-2.13, 2 Zr 2.24-2.25
N 0.5000 0.0000 0.0000  4 Mo 2.08-2.09, 2 Zr 2.32
N 0.6994 0.1507 0.5002  4 Mo 2.11-2.13, 2 Zr 2.24-2.25
N 0.8493 0.3006 0.9998  4 Mo 2.11-2.13, 2 Zr 2.24-2.25

Record 2
Below is a relaxed structure of GdSiHO4, with properties calculated at the PBE level.

## Properties
- ΔE to the lowest computed polymorph (eV/atom) = 0.0603
- symmetry = No. 146

a b c (Å): 8.8994 8.8994 8.8994
angles (deg): 110.80 110.80 110.80
Closest atoms and distances in Å follow each position.
Element x y z (fractional)
Gd 0.0066 0.2240 0.7694  5 O 2.22-2.35
Gd 0.2240 0.7694 0.0066  5 O 2.22-2.35
Gd 0.2990 0.7577 0.6092  6 O 2.17-2.37
Gd 0.6092 0.2990 0.7577  6 O 2.17-2.37
Gd 0.7577 0.6092 0.2990  6 O 2.17-2.37
Gd 0.7694 0.0066 0.2240  5 O 2.22-2.35
Si 0.1535 0.9610 0.3701  4 O 1.59-1.69
Si 0.3701 0.1535 0.9610  4 O 1.59-1.69
Si 0.4496 0.5933 0.8872  4 O 1.62-1.68
Si 0.5933 0.8872 0.4496  4 O 1.62-1.68
Si 0.8872 0.4496 0.5933  4 O 1.62-1.68
Si 0.9610 0.3701 0.1535  4 O 1.59-1.69
H 0.1038 0.9555 0.6566  1 O 1.02
H 0.2771 0.3161 0.5718  1 O 1.02
H 0.3161 0.5718 0.2771  1 O 1.02
H 0.5718 0.2771 0.3161  1 O 1.02
H 0.6566 0.1038 0.9555  1 O 1.02
H 0.9555 0.6566 0.1038  1 O 1.02
O 0.0468 0.7890 0.1377  1 H 1.02
O 0.0669 0.6629 0.6803  1 Si 1.64
O 0.0732 0.4591 0.3789  1 Si 1.59
O 0.0742 0.0995 0.3881  1 Si 1.61, 1 H 1.69
O 0.0897 0.8346 0.4604  1 H 1.62, 1 Si 1.66
O 0.0995 0.3881 0.0742  1 Si 1.61, 1 H 1.69
O 0.1377 0.0468 0.7890  1 H 1.02
O 0.2572 0.5122 0.8896  1 Si 1.62
O 0.3789 0.0732 0.4591  1 Si 1.59
O 0.3881 0.0742 0.0995  1 Si 1.61, 1 H 1.69
O 0.4125 0.4203 0.6926  1 H 1.02
O 0.4203 0.6926 0.4125  1 H 1.02
O 0.4591 0.3789 0.0732  1 Si 1.59
O 0.4604 0.0897 0.8346  1 H 1.62, 1 Si 1.66
O 0.4761 0.7833 0.8816  1 Si 1.64
O 0.5122 0.8896 0.2572  1 Si 1.62
O 0.6629 0.6803 0.0669  1 Si 1.64
O 0.6803 0.0669 0.6629  1 Si 1.64
O 0.6926 0.4125 0.4203  1 H 1.02
O 0.7833 0.8816 0.4761  1 Si 1.64
O 0.7890 0.1377 0.0468  1 H 1.02
O 0.8346 0.4604 0.0897  1 H 1.62, 1 Si 1.66
O 0.8816 0.4761 0.7833  1 Si 1.64
O 0.8896 0.2572 0.5122  1 Si 1.62

Record 3
Below is a relaxed structure of HfInHg2, with properties calculated at the PBE level.

## Properties
- final energy (eV per atom) = -3.0632
- symmetry = No. 216

a b c (Å): 5.0503 5.0503 5.0503
angles (deg): 60.00 60.00 60.00
Closest atoms and distances in Å follow each position.
Element x y z (fractional)
Hf 0.0000 0.0000 0.0000  4 Hg 3.09, 4 In 3.09
In 0.7500 0.7500 0.7500  4 Hg 3.09, 4 Hf 3.09
Hg 0.2500 0.2500 0.2500  4 Hf 3.09, 4 Hg 3.09
Hg 0.5000 0.5000 0.5000  4 Hg 3.09, 4 In 3.09

Record 4
Below is a relaxed structure of DyEr, with properties calculated at the PBE level.

## Properties
- ΔE to the lowest computed polymorph (eV/atom) = 0.0000
- symmetry = No. 187
- E_form (meV/atom) = 5

a b c (Å): 3.5850 3.5850 5.5613
angles (deg): 90.00 90.00 120.00
Closest atoms and distances in Å follow each position.
Element x y z (fractional)
Dy 0.0000 0.0000 0.0000  6 Er 3.47, 6 Dy 3.58
Er 0.6667 0.3333 0.5000  6 Dy 3.47, 6 Er 3.58

Record 5
Below is a relaxed structure of ZrPaNO, with properties calculated at the PBE level.

## Properties
- ΔE to the lowest computed polymorph (eV/atom) = 0.0000
- symmetry = No. 123

a b c (Å): 3.4168 3.4168 4.7450
angles (deg): 90.00 90.00 90.00
Closest atoms and distances in Å follow each position.
Element x y z (fractional)
Zr 0.0000 0.0000 0.0000  2 N 2.37, 4 O 2.42
Pa 0.5000 0.5000 0.5000  2 O 2.37, 4 N 2.42
N 0.0000 0.0000 0.5000  2 Zr 2.37, 4 Pa 2.42
O 0.5000 0.5000 0.0000  2 Pa 2.37, 4 Zr 2.42

Record 6
Below is a relaxed structure of Sc3GaOs2, with properties calculated at the PBE level.

## Properties
- final energy (eV per atom) = -7.9288
- symmetry = No. 123

a b c (Å): 3.2873 3.2873 9.6580
angles (deg): 90.00 90.00 90.00
Closest atoms and distances in Å follow each position.
Element x y z (fractional)
Sc 0.0000 0.0000 0.0000  8 Os 2.83, 2 Sc 3.08
Sc 0.0000 0.0000 0.3186  4 Os 2.74, 4 Ga 2.91
Sc 0.0000 0.0000 0.6814  4 Os 2.74, 4 Ga 2.91
Ga 0.5000 0.5000 0.5000  8 Sc 2.91, 2 Os 3.21
Os 0.5000 0.5000 0.1679  8 Sc 2.74-2.83
Os 0.5000 0.5000 0.8321  8 Sc 2.74-2.83

Record 7
Below is a relaxed structure of NbAl3, with properties calculated at the PBE level.

## Properties
- final energy (eV per atom) = -5.7633
- symmetry = No. 139

a b c (Å): 5.1043 5.1043 5.1043
angles (deg): 135.68 135.68 64.48
Closest atoms and distances in Å follow each position.
Element x y z (fractional)
Nb 0.0000 0.0000 0.0000  12 Al 2.72-2.89
Al 0.2500 0.7500 0.5000  8 Al 2.72-2.89, 4 Nb 2.89
Al 0.5000 0.5000 0.0000  4 Nb 2.72, 8 Al 2.89
Al 0.7500 0.2500 0.5000  8 Al 2.72-2.89, 4 Nb 2.89

Record 8
Below is a relaxed structure of Cs2TlCdCl6, with properties calculated at the PBE level.

## Properties
- final energy (eV per atom) = -2.9804
- symmetry = No. 148

a b c (Å): 7.6663 7.6663 7.6663
angles (deg): 59.95 59.95 59.95
Closest atoms and distances in Å follow each position.
Element x y z (fractional)
Cs 0.2502 0.2502 0.2502  12 Cl 3.82-3.84
Cs 0.7498 0.7498 0.7498  12 Cl 3.82-3.84
Tl 0.5000 0.5000 0.5000  6 Cl 2.79
Cd 0.0000 0.0000 0.0000  6 Cl 2.63
Cl 0.2424 0.7562 0.7584  1 Cd 2.63, 1 Tl 2.79
Cl 0.2416 0.7576 0.2438  1 Cd 2.63, 1 Tl 2.79
Cl 0.2438 0.2416 0.7576  1 Cd 2.63, 1 Tl 2.79
Cl 0.7562 0.7584 0.2424  1 Cd 2.63, 1 Tl 2.79
Cl 0.7584 0.2424 0.7562  1 Cd 2.63, 1 Tl 2.79
Cl 0.7576 0.2438 0.2416  1 Cd 2.63, 1 Tl 2.79

Record 9
Below is a relaxed structure of GdCuSnS3, with properties calculated at the PBE level.

## Properties
- ΔE to the lowest computed polymorph (eV/atom) = 0.0106
- symmetry = No. 62

a b c (Å): 10.9331 4.0617 11.2166
angles (deg): 90.00 90.00 90.00
Closest atoms and distances in Å follow each position.
Element x y z (fractional)
Gd 0.0140 0.2500 0.1804  7 S 2.75-2.98
Gd 0.4860 0.7500 0.6804  7 S 2.75-2.98
Gd 0.5140 0.2500 0.3196  7 S 2.75-2.98
Gd 0.9860 0.7500 0.8196  7 S 2.75-2.98
Cu 0.2450 0.7500 0.2949  4 S 2.31-2.37
Cu 0.2550 0.2500 0.7949  4 S 2.31-2.37
Cu 0.7450 0.7500 0.2051  4 S 2.31-2.37
Cu 0.7550 0.2500 0.7051  4 S 2.31-2.37
Sn 0.1756 0.2500 0.5100  5 S 2.80-3.02
Sn 0.3244 0.7500 0.0100  5 S 2.80-3.02
Sn 0.6756 0.2500 0.9900  5 S 2.80-3.02
Sn 0.8244 0.7500 0.4900  5 S 2.80-3.02
S 0.0424 0.7500 0.3591  1 Cu 2.33
S 0.1032 0.2500 0.9388  1 Cu 2.31
S 0.2246 0.7500 0.6909  2 Cu 2.37
S 0.2754 0.2500 0.1909  2 Cu 2.37
S 0.3968 0.7500 0.4388  1 Cu 2.31
S 0.4576 0.2500 0.8591  1 Cu 2.33
S 0.5424 0.7500 0.1409  1 Cu 2.33
S 0.6032 0.2500 0.5612  1 Cu 2.31
S 0.7246 0.7500 0.8091  2 Cu 2.37
S 0.7754 0.2500 0.3091  2 Cu 2.37
S 0.8968 0.7500 0.0612  1 Cu 2.31
S 0.9576 0.2500 0.6409  1 Cu 2.33

Record 10
Below is a relaxed structure of CsSmTh, with properties calculated at the PBE level.

## Properties
- final energy (eV per atom) = -2.8830
- symmetry = No. 216

a b c (Å): 5.5295 5.5295 5.5295
angles (deg): 60.00 60.00 60.00
Closest atoms and distances in Å follow each position.
Element x y z (fractional)
Cs 0.0000 0.0000 0.0000  4 Sm 3.39, 4 Th 3.39
Sm 0.7500 0.7500 0.7500  4 Cs 3.39
Th 0.2500 0.2500 0.2500  4 Cs 3.39

Record 11
Below is a relaxed structure of MgAlAg2, with properties calculated at the PBE level.

## Properties
- ΔE to the lowest computed polymorph (eV/atom) = 0.0315
- symmetry = No. 123

a b c (Å): 3.2469 3.2469 6.5544
angles (deg): 90.00 90.00 90.00
Closest atoms and distances in Å follow each position.
Element x y z (fractional)
Mg 0.0000 0.0000 0.0000  8 Ag 2.87
Al 0.0000 0.0000 0.5000  8 Ag 2.77
Ag 0.5000 0.5000 0.2638  4 Al 2.77, 4 Mg 2.87, 1 Ag 3.10
Ag 0.5000 0.5000 0.7362  4 Al 2.77, 4 Mg 2.87, 1 Ag 3.10

Record 12
Below is a relaxed structure of RbAsOsO, with properties calculated at the PBE level.

## Properties
- ΔE to the lowest computed polymorph (eV/atom) = 0.0000
- symmetry = No. 26

a b c (Å): 3.7625 8.0615 6.4943
angles (deg): 90.00 90.00 90.00
Closest atoms and distances in Å follow each position.
Element x y z (fractional)
Rb 0.0000 0.1675 0.0000  2 O 2.70
Rb 0.0000 0.8325 0.5000  2 O 2.70
As 0.0000 0.2726 0.4981  2 Os 2.37
As 0.0000 0.7274 0.9981  2 Os 2.37
Os 0.5000 0.4284 0.6077  2 O 1.94-1.95
Os 0.5000 0.5716 0.1077  2 O 1.94-1.95
O 0.5000 0.3947 0.9040  2 Os 1.94-1.95
O 0.5000 0.6053 0.4040  2 Os 1.94-1.95

Record 13
Below is a relaxed structure of Hf5FeTe3, with properties calculated at the PBE level.

## Properties
- final energy (eV per atom) = -8.0752
- symmetry = No. 62

a b c (Å): 18.0231 3.6708 13.3149
angles (deg): 90.00 90.00 90.00
Closest atoms and distances in Å follow each position.
Element x y z (fractional)
Hf 0.0427 0.2500 0.0705  2 Fe 2.72, 1 Te 3.00, 3 Hf 3.02-3.04
Hf 0.0892 0.2500 0.8496  2 Fe 2.61
Hf 0.1222 0.7500 0.2265  4 Te 2.94-3.12, 4 Hf 3.12-3.29
Hf 0.2100 0.2500 0.0598  2 Fe 2.58
Hf 0.2437 0.7500 0.8593  1 Fe 2.58
Hf 0.2563 0.2500 0.3593  1 Fe 2.58
Hf 0.2900 0.7500 0.5598  2 Fe 2.58
Hf 0.3778 0.2500 0.7265  4 Te 2.94-3.12, 4 Hf 3.12-3.29
Hf 0.4108 0.7500 0.3496  2 Fe 2.61
Hf 0.4573 0.7500 0.5705  2 Fe 2.72, 1 Te 3.00, 3 Hf 3.02-3.04
Hf 0.5427 0.2500 0.4295  2 Fe 2.72, 1 Te 3.00, 3 Hf 3.02-3.04
Hf 0.5892 0.2500 0.6504  2 Fe 2.61
Hf 0.6222 0.7500 0.2735  4 Te 2.94-3.12, 4 Hf 3.12-3.29
Hf 0.7100 0.2500 0.4402  2 Fe 2.58
Hf 0.7437 0.7500 0.6407  1 Fe 2.58
Hf 0.7563 0.2500 0.1407  1 Fe 2.58
Hf 0.7900 0.7500 0.9402  2 Fe 2.58
Hf 0.8778 0.2500 0.7735  4 Te 2.94-3.12, 4 Hf 3.12-3.29
Hf 0.9108 0.7500 0.1504  2 Fe 2.61
Hf 0.9573 0.7500 0.9295  2 Fe 2.72, 1 Te 3.00, 3 Hf 3.02-3.04
Fe 0.1299 0.7500 0.9771  7 Hf 2.58-2.72
Fe 0.3701 0.2500 0.4771  7 Hf 2.58-2.72
Fe 0.6299 0.7500 0.5229  7 Hf 2.58-2.72
Fe 0.8701 0.2500 0.0229  7 Hf 2.58-2.72
Te 0.0011 0.7500 0.7122  5 Hf 3.00-3.04
Te 0.1479 0.7500 0.4447  4 Hf 2.91-2.98
Te 0.2065 0.2500 0.6936  6 Hf 2.95-3.12
Te 0.2935 0.7500 0.1936  6 Hf 2.95-3.12
Te 0.3521 0.2500 0.9447  4 Hf 2.91-2.98
Te 0.4989 0.2500 0.2122  5 Hf 3.00-3.04
Te 0.5011 0.7500 0.7878  5 Hf 3.00-3.04
Te 0.6479 0.7500 0.0553  4 Hf 2.91-2.98
Te 0.7065 0.2500 0.8064  6 Hf 2.95-3.12
Te 0.7935 0.7500 0.3064  6 Hf 2.95-3.12
Te 0.8521 0.2500 0.5553  4 Hf 2.91-2.98
Te 0.9989 0.2500 0.2878  5 Hf 3.00-3.04

Record 14
Below is a relaxed structure of NdSi2IrAu, with properties calculated at the PBE level.

## Properties
- ΔE to the lowest computed polymorph (eV/atom) = 0.1542
- symmetry = No. 119

a b c (Å): 5.9035 5.9035 5.9035
angles (deg): 138.07 138.07 60.79
Closest atoms and distances in Å follow each position.
Element x y z (fractional)
Nd 0.0000 0.0000 0.0000  8 Si 3.22, 4 Ir 3.31, 4 Au 3.31
Si 0.3827 0.3827 0.0000  1 Si 2.39, 2 Ir 2.51, 2 Au 2.51
Si 0.6173 0.6173 0.0000  1 Si 2.39, 2 Ir 2.51, 2 Au 2.51
Ir 0.7500 0.2500 0.5000  4 Si 2.51
Au 0.2500 0.7500 0.5000  4 Si 2.51

Record 15
Below is a relaxed structure of NdHoMo2C3, with properties calculated at the PBE level.

## Properties
- final energy (eV per atom) = -8.6403
- symmetry = No. 8

a b c (Å): 5.9410 5.9410 5.7824
angles (deg): 106.01 106.01 33.55
Closest atoms and distances in Å follow each position.
Element x y z (fractional)
Nd 0.0000 0.0000 0.0000  5 C 2.51-2.70
Ho 0.7760 0.7760 0.3536  5 C 2.49-2.62
Mo 0.2378 0.2378 0.7933  4 C 2.05-2.10
Mo 0.5410 0.5410 0.5533  4 C 2.03-2.15
C 0.1190 0.1190 0.4397  3 Mo 2.10-2.12
C 0.3869 0.3869 0.6627  2 Mo 2.03-2.05
C 0.6660 0.6660 0.9129  3 Mo 2.10-2.15

Record 16
Below is a relaxed structure of ZnHgBi2, with properties calculated at the PBE level.

## Properties
- final energy (eV per atom) = -2.2497
- symmetry = No. 216

a b c (Å): 5.3786 5.3786 5.3786
angles (deg): 60.00 60.00 60.00
Closest atoms and distances in Å follow each position.
Element x y z (fractional)
Zn 0.0000 0.0000 0.0000  4 Bi 3.29, 4 Hg 3.29
Hg 0.2500 0.2500 0.2500  4 Bi 3.29, 4 Zn 3.29
Bi 0.5000 0.5000 0.5000  4 Bi 3.29, 4 Hg 3.29
Bi 0.7500 0.7500 0.7500  4 Zn 3.29, 4 Bi 3.29

Record 17
Below is a relaxed structure of Dy2Er2Co, with properties calculated at the PBE level.

## Properties
- symmetry = No. 12
- E_form (meV/atom) = -32

a b c (Å): 6.2201 6.2201 10.1815
angles (deg): 111.22 111.22 46.08
Closest atoms and distances in Å follow each position.
Element x y z (fractional)
Dy 0.0043 0.0043 0.3354  2 Co 2.96, 1 Er 3.09
Dy 0.3614 0.3614 0.8024  1 Co 2.69
Dy 0.6386 0.6386 0.1976  1 Co 2.69
Dy 0.9957 0.9957 0.6646  2 Co 2.96, 1 Er 3.09
Er 0.1512 0.1512 0.9910  3 Co 2.65-2.85
Er 0.3283 0.3283 0.4094  1 Co 2.86
Er 0.6717 0.6717 0.5906  1 Co 2.86
Er 0.8488 0.8488 0.0090  3 Co 2.65-2.85
Co 0.3944 0.3944 0.1661  4 Er 2.65-2.86, 3 Dy 2.69-2.96
Co 0.6056 0.6056 0.8339  4 Er 2.65-2.86, 3 Dy 2.69-2.96

Record 18
Below is a relaxed structure of TcMo, with properties calculated at the PBE level.

## Properties
- ΔE to the lowest computed polymorph (eV/atom) = 0.1318
- symmetry = No. 187
- E_form (meV/atom) = 229

a b c (Å): 2.7878 2.7878 4.5204
angles (deg): 90.00 90.00 120.00
Closest atoms and distances in Å follow each position.
Element x y z (fractional)
Tc 0.0000 0.0000 0.0000  6 Mo 2.77, 6 Tc 2.79
Mo 0.3333 0.6667 0.5000  6 Tc 2.77, 6 Mo 2.79

Record 19
Below is a relaxed structure of Li2Mg2Ga2CuPt, with properties calculated at the PBE level.

## Properties
- final energy (eV per atom) = -3.3045
- symmetry = No. 115

a b c (Å): 4.3838 4.3838 6.1979
angles (deg): 90.00 90.00 90.00
Closest atoms and distances in Å follow each position.
Element x y z (fractional)
Li 0.0000 0.0000 0.0000  4 Ga 2.68, 4 Mg 2.68
Li 0.5000 0.5000 0.5000  4 Mg 2.69, 4 Ga 2.69
Mg 0.0000 0.5000 0.2485  4 Li 2.68-2.69, 2 Cu 2.68, 2 Pt 2.69
Mg 0.5000 0.0000 0.7515  4 Li 2.68-2.69, 2 Cu 2.68, 2 Pt 2.69
Ga 0.0000 0.5000 0.7518  4 Li 2.68-2.69, 2 Cu 2.68, 2 Pt 2.69
Ga 0.5000 0.0000 0.2482  4 Li 2.68-2.69, 2 Cu 2.68, 2 Pt 2.69
Cu 0.5000 0.5000 0.0000  4 Ga 2.68, 4 Mg 2.68
Pt 0.0000 0.0000 0.5000  4 Mg 2.69, 4 Ga 2.69

Record 20
Below is a relaxed structure of HgI2, with properties calculated at the PBE level.

## Properties
- final energy (eV per atom) = -0.8139
- symmetry = No. 227

a b c (Å): 6.8521 6.8521 6.8521
angles (deg): 60.00 60.00 60.00
Closest atoms and distances in Å follow each position.
Element x y z (fractional)
Hg 0.1250 0.1250 0.1250  12 I 4.02, 4 Hg 4.20
Hg 0.8750 0.8750 0.8750  12 I 4.02, 4 Hg 4.20
I 0.0000 0.5000 0.5000  6 I 3.43
I 0.5000 0.0000 0.5000  6 I 3.43
I 0.5000 0.5000 0.0000  6 I 3.43
I 0.5000 0.5000 0.5000  6 I 3.43